# Cs2CeCuSe4 PBE-GGA optimized geometry
data_Cs2CeCuSe4
_chemical_formula_sum 'Cs4 Ce2 Cu2 Se8'
_cell_length_a 8.0424
_cell_length_b 8.0424
_cell_length_c 9.0916
_cell_angle_alpha 90.00
_cell_angle_beta 90.00
_cell_angle_gamma 90.00
_space_group_name_H-M_alt 'P 1'
_space_group_IT_number 1
loop_
_space_group_symop_operation_xyz
'x,y,z'
loop_
_atom_site_label
_atom_site_type_symbol
_atom_site_fract_x
_atom_site_fract_y
_atom_site_fract_z
Cs1 Cs 0.0000 0.0000 0.0000
Cs2 Cs 0.0000 0.5000 0.2500
Cs3 Cs 0.5000 0.0000 0.7500
Cs4 Cs 0.5000 0.5000 0.5000
Ce1 Ce 0.0000 0.0000 0.5000
Ce2 Ce 0.5000 0.5000 0.0000
Cu1 Cu 0.0000 0.5000 0.7500
Cu2 Cu 0.5000 0.0000 0.2500
Se1 Se 0.1430 0.2583 0.6510
Se2 Se 0.2417 0.6430 0.8490
Se3 Se 0.2583 0.8570 0.3490
Se4 Se 0.3570 0.2417 0.1510
Se5 Se 0.6430 0.7583 0.1510
Se6 Se 0.7417 0.1430 0.3490
Se7 Se 0.7583 0.3570 0.8490
Se8 Se 0.8570 0.7417 0.6510
# Total energy in eV/atom: -4.1814
# Size of the total moment in μB/cell: 0.00


# LaCd9Ni3 PBE-GGA optimized geometry
data_LaCd9Ni3
_chemical_formula_sum 'La1 Cd9 Ni3'
_cell_length_a 7.5173
_cell_length_b 7.5173
_cell_length_c 7.2275
_cell_angle_alpha 97.43
_cell_angle_beta 97.43
_cell_angle_gamma 137.22
_space_group_name_H-M_alt 'P 1'
_space_group_IT_number 1
loop_
_space_group_symop_operation_xyz
'x,y,z'
loop_
_atom_site_label
_atom_site_type_symbol
_atom_site_fract_x
_atom_site_fract_y
_atom_site_fract_z
La1 La 0.0000 0.0000 0.0000
Cd1 Cd 0.0000 0.0000 0.5000
Cd2 Cd 0.0153 0.6614 0.6713
Cd3 Cd 0.2936 0.5194 0.7854
Cd4 Cd 0.3386 0.9847 0.3287
Cd5 Cd 0.4806 0.7064 0.2146
Cd6 Cd 0.5194 0.2936 0.7854
Cd7 Cd 0.6614 0.0153 0.6713
Cd8 Cd 0.7064 0.4806 0.2146
Cd9 Cd 0.9847 0.3386 0.3287
Ni1 Ni 0.0000 0.5000 0.0000
Ni2 Ni 0.5000 0.0000 0.0000
Ni3 Ni 0.5000 0.5000 0.5000
# Total energy in eV/atom: -2.4478
# Size of the total moment in μB/cell: 0.00


# CrSiMo2 PBE-GGA optimized geometry
data_CrSiMo2
_chemical_formula_sum 'Cr1 Si1 Mo2'
_cell_length_a 2.7189
_cell_length_b 4.2802
_cell_length_c 4.9848
_cell_angle_alpha 90.00
_cell_angle_beta 103.77
_cell_angle_gamma 90.00
_space_group_name_H-M_alt 'P 1'
_space_group_IT_number 1
loop_
_space_group_symop_operation_xyz
'x,y,z'
loop_
_atom_site_label
_atom_site_type_symbol
_atom_site_fract_x
_atom_site_fract_y
_atom_site_fract_z
Cr1 Cr 0.0000 0.0000 0.0000
Si1 Si 0.1312 0.5000 0.7586
Mo1 Mo 0.5445 0.0000 0.5203
Mo2 Mo 0.7627 0.5000 0.2339
# Total energy in eV/atom: -9.2252
# Size of the total moment in μB/cell: 0.00


# AcErGe2Au2 PBE-GGA optimized geometry
data_AcErGe2Au2
_chemical_formula_sum 'Ac1 Er1 Ge2 Au2'
_cell_length_a 4.5127
_cell_length_b 4.5127
_cell_length_c 7.9762
_cell_angle_alpha 90.00
_cell_angle_beta 90.00
_cell_angle_gamma 120.00
_space_group_name_H-M_alt 'P 1'
_space_group_IT_number 1
loop_
_space_group_symop_operation_xyz
'x,y,z'
loop_
_atom_site_label
_atom_site_type_symbol
_atom_site_fract_x
_atom_site_fract_y
_atom_site_fract_z
Ac1 Ac 0.0000 0.0000 0.0000
Er1 Er 0.0000 0.0000 0.5000
Ge1 Ge 0.3333 0.6667 0.7397
Ge2 Ge 0.6667 0.3333 0.2603
Au1 Au 0.3333 0.6667 0.2963
Au2 Au 0.6667 0.3333 0.7037
# Total energy in eV/atom: -4.8968
# Size of the total moment in μB/cell: 0.00


# BaPuTe3 PBE-GGA optimized geometry
data_BaPuTe3
_chemical_formula_sum 'Ba1 Pu1 Te3'
_cell_length_a 5.8817
_cell_length_b 5.8817
_cell_length_c 5.8817
_cell_angle_alpha 90.00
_cell_angle_beta 90.00
_cell_angle_gamma 90.00
_space_group_name_H-M_alt 'P 1'
_space_group_IT_number 1
loop_
_space_group_symop_operation_xyz
'x,y,z'
loop_
_atom_site_label
_atom_site_type_symbol
_atom_site_fract_x
_atom_site_fract_y
_atom_site_fract_z
Ba1 Ba 0.0000 0.0000 0.0000
Pu1 Pu 0.5000 0.5000 0.5000
Te1 Te 0.0000 0.5000 0.5000
Te2 Te 0.5000 0.0000 0.5000
Te3 Te 0.5000 0.5000 0.0000
# Energy above the lowest structure with this stoichiometry in meV/atom: 0.0
# Size of the total moment in μB/cell: 4.00


# SrTa2Pt PBE-GGA optimized geometry
data_SrTa2Pt
_chemical_formula_sum 'Sr1 Ta2 Pt1'
_cell_length_a 3.2813
_cell_length_b 4.7177
_cell_length_c 5.3248
_cell_angle_alpha 90.00
_cell_angle_beta 90.00
_cell_angle_gamma 90.00
_space_group_name_H-M_alt 'P 1'
_space_group_IT_number 1
loop_
_space_group_symop_operation_xyz
'x,y,z'
loop_
_atom_site_label
_atom_site_type_symbol
_atom_site_fract_x
_atom_site_fract_y
_atom_site_fract_z
Sr1 Sr 0.0000 0.0000 0.0000
Ta1 Ta 0.0000 0.5000 0.5000
Ta2 Ta 0.5000 0.0000 0.5000
Pt1 Pt 0.5000 0.5000 0.0000
# Energy above the lowest structure with this stoichiometry in meV/atom: 349.4
# Size of the total moment in μB/cell: 0.00


Question: Among the records above, which one has the highest size of the total moment?
Answer: BaPuTe3


Repeat the first record exactly.
# Cs2CeCuSe4 PBE-GGA optimized geometry
data_Cs2CeCuSe4
_chemical_formula_sum 'Cs4 Ce2 Cu2 Se8'
_cell_length_a 8.0424
_cell_length_b 8.0424
_cell_length_c 9.0916
_cell_angle_alpha 90.00
_cell_angle_beta 90.00
_cell_angle_gamma 90.00
_space_group_name_H-M_alt 'P 1'
_space_group_IT_number 1
loop_
_space_group_symop_operation_xyz
'x,y,z'
loop_
_atom_site_label
_atom_site_type_symbol
_atom_site_fract_x
_atom_site_fract_y
_atom_site_fract_z
Cs1 Cs 0.0000 0.0000 0.0000
Cs2 Cs 0.0000 0.5000 0.2500
Cs3 Cs 0.5000 0.0000 0.7500
Cs4 Cs 0.5000 0.5000 0.5000
Ce1 Ce 0.0000 0.0000 0.5000
Ce2 Ce 0.5000 0.5000 0.0000
Cu1 Cu 0.0000 0.5000 0.7500
Cu2 Cu 0.5000 0.0000 0.2500
Se1 Se 0.1430 0.2583 0.6510
Se2 Se 0.2417 0.6430 0.8490
Se3 Se 0.2583 0.8570 0.3490
Se4 Se 0.3570 0.2417 0.1510
Se5 Se 0.6430 0.7583 0.1510
Se6 Se 0.7417 0.1430 0.3490
Se7 Se 0.7583 0.3570 0.8490
Se8 Se 0.8570 0.7417 0.6510
# Total energy in eV/atom: -4.1814
# Size of the total moment in μB/cell: 0.00